Here is a relaxed La4Tb7Tm crystal from Alexandria via LeMat-Bulk. Energies are from PBE.

Cell: 5.967 11.975 6.738 Å, 85.34 63.72 75.57°
Atoms (fractional coordinates):
La (0.302, 0.289, 0.107)
Tb (0.794, 0.917, 0.495)
La (0.357, 0.776, 0.510)
Tb (0.965, 0.367, 0.703)
Tb (0.355, 0.511, 0.778)
Tb (0.645, 0.489, 0.222)
Tb (0.206, 0.083, 0.505)
Tb (0.500, 0.000, 0.000)
Tb (0.035, 0.633, 0.297)
La (0.698, 0.711, 0.893)
Tm (0.000, 0.000, 0.000)
La (0.643, 0.224, 0.490)

Calculated values
E_form = 0.269 eV/atom
Space group = No. 12
Total energy = -4.447 eV/atom
Calculated density = 7300 kg/m3